ZrNi3F | PBE+U | relaxed

```
ZrNi3F
1.0
4.578 0.000 0.000
0.000 4.578 0.000
0.000 0.000 4.578
Zr Ni F
1 3 1
Cartesian
0.000 0.000 0.000 Zr
0.000 0.000 2.289 Ni
0.000 2.289 0.000 Ni
2.289 0.000 0.000 Ni
2.289 2.289 2.289 F
```

D(E_F): 2.72 states/eV/cell
spin magnetization: 0.0 Bohr magnetons per cell
electronic total energy: -9.3 eV for the cell shown
energy relative to the lowest polymorph listed for this composition: 1.448 eV per atom